# 1
SrTl2VO4: relaxed, PBE+U.

a b c (Å): 7.0812 9.8140 4.9037
angles (deg): 90.00 90.00 90.00
Fractional positions:
Sr 0.0000 0.0994 0.0000
Sr 0.5000 0.9006 0.5000
Tl 0.2464 0.6228 0.9755
Tl 0.2536 0.3772 0.4755
Tl 0.7464 0.3772 0.4755
Tl 0.7536 0.6228 0.9755
V 0.0000 0.8439 0.4277
V 0.5000 0.1561 0.9277
O 0.0000 0.0176 0.5111
O 0.0000 0.8476 0.0741
O 0.2108 0.7631 0.5267
O 0.2892 0.2369 0.0267
O 0.5000 0.1524 0.5741
O 0.5000 0.9824 0.0111
O 0.7108 0.2369 0.0267
O 0.7892 0.7631 0.5267

## Properties
**Magnetic moment**: 0.0 μB/f.u.
**Total DFT energy (no corrections)**: -5.94 eV per atom
**Density**: 5.96 g/cm³
**SG**: No. 31

=====

# 2
SrTl2V2O7: relaxed, PBE+U.

a b c (Å): 8.5473 8.5473 8.5473
angles (deg): 40.01 40.01 40.01
Fractional positions:
Sr 0.0000 0.0000 0.0000
Tl 0.2070 0.2070 0.2070
Tl 0.7930 0.7930 0.7930
V 0.4222 0.4222 0.4222
V 0.5778 0.5778 0.5778
O 0.1342 0.3730 0.6923
O 0.3077 0.6270 0.8658
O 0.3730 0.6923 0.1342
O 0.5000 0.5000 0.5000
O 0.6270 0.8658 0.3077
O 0.6923 0.1342 0.3730
O 0.8658 0.3077 0.6270

## Properties
**Magnetic moment**: 0.0 μB/f.u.
**Total DFT energy (no corrections)**: -6.57 eV per atom
**Density**: 5.07 g/cm³
**SG**: No. 155

=====

# 3
SrTl2VO: relaxed, PBE+U.

a b c (Å): 5.9713 5.9713 3.7572
angles (deg): 90.00 90.00 90.00
Fractional positions:
Sr 0.0000 0.0000 0.0000
Tl 0.0000 0.5000 0.5000
Tl 0.5000 0.0000 0.5000
V 0.5000 0.5000 0.0000
O 0.5000 0.5000 0.5000

## Properties
**Magnetic moment**: 0.0 μB/f.u.
**Total DFT energy (no corrections)**: -4.06 eV per atom
**Density**: 6.98 g/cm³
**SG**: No. 123

=====

# 4
SrTl2V2O6: relaxed, PBE+U.

a b c (Å): 7.3528 7.3528 7.3528
angles (deg): 50.47 50.47 50.47
Fractional positions:
Sr 0.0000 0.0000 0.0000
Tl 0.2009 0.2009 0.2009
Tl 0.7991 0.7991 0.7991
V 0.4312 0.4312 0.4312
V 0.5688 0.5688 0.5688
O 0.2609 0.2609 0.7321
O 0.2609 0.7321 0.2609
O 0.2679 0.7391 0.7391
O 0.7321 0.2609 0.2609
O 0.7391 0.2679 0.7391
O 0.7391 0.7391 0.2679

## Properties
**Magnetic moment**: 0.1 μB/f.u.
**Total DFT energy (no corrections)**: -6.37 eV per atom
**Density**: 5.29 g/cm³
**SG**: No. 166

=====

# 5
Sr2YTlV2O7: relaxed, PBE+U.

a b c (Å): 3.7678 4.0482 13.0412
angles (deg): 90.00 90.00 90.00
Fractional positions:
Sr 0.0000 0.0000 0.1844
Sr 0.0000 0.0000 0.8156
Y 0.0000 0.0000 0.5000
Tl 0.5000 0.5000 0.0000
V 0.5000 0.5000 0.3514
V 0.5000 0.5000 0.6486
O 0.0000 0.0000 0.0000
O 0.0000 0.5000 0.3982
O 0.0000 0.5000 0.6018
O 0.5000 0.0000 0.3852
O 0.5000 0.0000 0.6148
O 0.5000 0.5000 0.2062
O 0.5000 0.5000 0.7938

## Properties
**Magnetic moment**: 4.1 μB/f.u.
**Total DFT energy (no corrections)**: -7.03 eV per atom
**Density**: 5.70 g/cm³
**SG**: No. 47

=====

# 6
SrTlW2O8: relaxed, PBE+U.

a b c (Å): 6.5132 6.5132 6.5132
angles (deg): 106.88 106.88 114.78
Fractional positions:
Sr 0.0000 0.0000 0.0000
Tl 0.7500 0.2500 0.5000
W 0.2500 0.7500 0.5000
W 0.5000 0.5000 0.0000
O 0.0940 0.4071 0.3131
O 0.0940 0.7809 0.6869
O 0.1551 0.3383 0.8168
O 0.2191 0.9060 0.3131
O 0.5215 0.3383 0.1832
O 0.5929 0.9060 0.6869
O 0.6617 0.4785 0.8168
O 0.6617 0.8449 0.1832

## Properties
**Magnetic moment**: 0.0 μB/f.u.
**Total DFT energy (no corrections)**: -6.76 eV per atom
**Density**: 6.19 g/cm³
**SG**: No. 119